Entry 1:
First-principles (meta-GGA SCAN) data for a PBEsol-optimized structure of ScHg3Se, as listed in Alexandria.

abc: 5.225 5.225 5.225
angles: 90.00 90.00 90.00
Site moments in Bohr magnetons follow the coordinates.
Atoms (fractional coordinates):
Hg 0.000 0.000 0.500  0.01
Hg 0.500 0.000 0.000  0.01
Hg 0.000 0.500 0.000  0.01
Se 0.000 0.000 0.000  0.02
Sc 0.500 0.500 0.500  0.61

Summary:
The total DFT energy (no corrections) comes out at -47.21 eV/atom. The uncorrected formation energy comes out at 557.6 meV per atom. The value obtained for the total magnetization is 1.1 μB/cell. Its space group is Pm-3m (221).



Entry 2:
First-principles (meta-GGA SCAN) data for a PBEsol-optimized structure of ScHgSe, as listed in Alexandria.

abc: 4.681 4.681 4.681
angles: 60.00 60.00 60.00
Atoms (fractional coordinates):
Se 0.750 0.750 0.750
Sc 0.500 0.500 0.500
Hg 0.000 0.000 0.000

Summary:
The total DFT energy (no corrections) comes out at -34.64 eV/atom. The uncorrected formation energy comes out at -479.6 meV per atom. The value obtained for the total magnetization is 0.0 μB/cell. Its space group is F-43m (216).



Entry 3:
First-principles (meta-GGA SCAN) data for a PBEsol-optimized structure of ScHgSe2, as listed in Alexandria.

abc: 3.731 4.034 6.083
angles: 90.00 107.84 90.00
Atoms (fractional coordinates):
Hg 0.255 0.000 0.385
Sc 0.451 0.500 0.777
Se 0.773 0.500 0.421
Se 0.021 0.000 0.917

Summary:
The total DFT energy (no corrections) comes out at -31.65 eV/atom. The uncorrected formation energy comes out at -1009.9 meV per atom. The value obtained for the total magnetization is 0.0 μB/cell. Its space group is Amm2 (38).



Entry 4:
First-principles (meta-GGA SCAN) data for a PBEsol-optimized structure of ScHgSe2, as listed in Alexandria.

abc: 3.915 3.915 5.773
angles: 90.00 90.00 90.00
Atoms (fractional coordinates):
Se 0.000 0.000 0.124
Se 0.500 0.500 0.625
Sc 0.500 0.500 0.128
Hg 0.000 0.000 0.623

Summary:
The total DFT energy (no corrections) comes out at -31.58 eV/atom. The uncorrected formation energy comes out at -944.9 meV per atom. The value obtained for the total magnetization is 0.0 μB/cell. Its space group is P4mm (99).



Entry 5:
First-principles (meta-GGA SCAN) data for a PBEsol-optimized structure of ScHgSe2, as listed in Alexandria.

abc: 3.894 3.894 6.156
angles: 108.44 108.44 90.00
Atoms (fractional coordinates):
Se 0.750 0.250 0.500
Se 0.000 0.000 0.000
Hg 0.500 0.500 0.000
Sc 0.250 0.750 0.500

Summary:
The total DFT energy (no corrections) comes out at -31.35 eV/atom. The uncorrected formation energy comes out at -711.9 meV per atom. The value obtained for the total magnetization is 0.0 μB/cell. Its space group is I-4m2 (119).



Entry 6:
First-principles (meta-GGA SCAN) data for a PBEsol-optimized structure of ScHgSe3, as listed in Alexandria.

abc: 5.093 5.093 5.093
angles: 90.00 90.00 90.00
Site moments in Bohr magnetons follow the coordinates.
Atoms (fractional coordinates):
Se 0.000 0.000 0.500  0.54
Se 0.000 0.500 0.000  0.54
Se 0.500 0.000 0.000  0.54
Sc 0.000 0.000 0.000  -0.08
Hg 0.500 0.500 0.500  0.15

Summary:
The total DFT energy (no corrections) comes out at -28.93 eV/atom. The uncorrected formation energy comes out at -404.5 meV per atom. The value obtained for the total magnetization is 2.6 μB/cell. Its space group is Pm-3m (221).